Compound: NpBeNi2O6
Source: the Alexandria database
Functional: PBE+U
Structure: optimized geometry

abc: 4.3053 5.3451 5.3451
angles: 90.00 90.00 90.00
Closest atoms and distances in Å follow each position.
Fractional positions:
O: 0.2288 0.0000 0.0000  1 Be 1.52
O: 0.1728 0.5000 0.5000  2 Np 2.09-2.22
O: 0.7293 0.2340 0.7660  1 Be 1.88, 1 Np 2.03
O: 0.7293 0.2340 0.2340  1 Be 1.88, 1 Np 2.03
O: 0.7293 0.7660 0.2340  1 Be 1.88, 1 Np 2.03
O: 0.7293 0.7660 0.7660  1 Be 1.88, 1 Np 2.03
Be: 0.5829 0.0000 0.0000  1 O 1.52
Np: 0.6577 0.5000 0.5000  6 O 2.03-2.22
Ni: 0.9437 0.5000 0.0000  4 O 2.11
Ni: 0.9437 0.0000 0.5000  4 O 2.11

Summary:
Energy: -6.60 eV per atom
SG: P4mm (99)